{"formula": "HfZrTlN", "functional": "PBE", "state": "optimized geometry", "space_group": "P-3m1, No. 164", "e_above_lowest_polymorph_mev_per_atom": 5, "cell": [[-1.4130, -0.7971, -2.8778], [3.1336, -0.8598, 0.5957], [-4.6319, -12.8415, 5.8310]], "species": ["N", "N", "Zr", "Zr", "Hf", "Hf", "Tl", "Tl"], "frac_coords": [[0.0000, 0.0000, 0.5000], [0.0000, 0.0000, 0.0000], [0.3333, 0.6667, 0.9156], [0.6667, 0.3333, 0.0844], [0.3333, 0.6667, 0.5813], [0.6667, 0.3333, 0.4187], [0.3333, 0.6667, 0.2524], [0.6667, 0.3333, 0.7476]]}

{"formula": "Cs2TbTmTe4", "functional": "PBE", "state": "optimized geometry", "space_group": "P-3m1, No. 164", "cell": [[-3.9312, 2.2514, -0.0847], [0.1572, -4.2235, 1.6332], [3.3293, 6.4269, 16.2994]], "species": ["Tm", "Te", "Te", "Te", "Te", "Cs", "Cs", "Tb"], "frac_coords": [[0.0000, 0.0000, 0.5000], [0.6667, 0.3333, 0.5934], [0.3333, 0.6667, 0.0960], [0.6667, 0.3333, 0.9040], [0.3333, 0.6667, 0.4066], [0.3333, 0.6667, 0.7499], [0.6667, 0.3333, 0.2501], [0.0000, 0.0000, 0.0000]]}

{"formula": "PrDyAg", "functional": "PBE", "state": "optimized geometry", "space_group": "F-43m, No. 216", "ef_mev_per_atom": 431, "cell": [[0.0000, 3.5282, 3.5282], [3.5282, 0.0000, 3.5282], [3.5282, 3.5282, 0.0000]], "species": ["Pr", "Ag", "Dy"], "frac_coords": [[0.7500, 0.7500, 0.7500], [0.2500, 0.2500, 0.2500], [0.0000, 0.0000, 0.0000]]}

{"formula": "PrCdInTe3", "functional": "PBE", "state": "optimized geometry", "space_group": "Pnma, No. 62", "e_above_lowest_polymorph_mev_per_atom": 27, "cell": [[-3.5960, -4.1121, -11.6508], [4.4329, -1.2227, -0.9367], [-2.2946, -12.1462, 4.9952]], "species": ["Te", "Te", "Te", "Te", "Te", "Te", "Te", "Te", "Te", "Te", "Te", "Te", "In", "In", "In", "In", "Cd", "Cd", "Cd", "Cd", "Pr", "Pr", "Pr", "Pr"], "frac_coords": [[0.9069, 0.5000, 0.5604], [0.9678, 0.0000, 0.1448], [0.0931, 0.0000, 0.4396], [0.5322, 0.5000, 0.6448], [0.2781, 0.0000, 0.6774], [0.0322, 0.5000, 0.8552], [0.4678, 0.0000, 0.3552], [0.4069, 0.5000, 0.9396], [0.2219, 0.5000, 0.1774], [0.5931, 0.0000, 0.0604], [0.7781, 0.0000, 0.8226], [0.7219, 0.5000, 0.3226], [0.3248, 0.5000, 0.4925], [0.6752, 0.0000, 0.5075], [0.8248, 0.5000, 0.0075], [0.1752, 0.0000, 0.9925], [0.7444, 0.5000, 0.7020], [0.2556, 0.0000, 0.2980], [0.7556, 0.0000, 0.2020], [0.2444, 0.5000, 0.7980], [0.0233, 0.0000, 0.6839], [0.5233, 0.0000, 0.8161], [0.9767, 0.5000, 0.3161], [0.4767, 0.5000, 0.1839]]}

{"formula": "RbGdFeSe3", "functional": "PBE", "state": "optimized geometry", "space_group": "P2_1/m, No. 11", "e_above_lowest_polymorph_mev_per_atom": 0, "cell": [[9.2423, 0.0000, 0.0000], [0.0000, 4.1333, 0.0000], [-3.5337, 0.0000, 9.5739]], "species": ["Se", "Se", "Se", "Se", "Se", "Se", "Fe", "Fe", "Gd", "Gd", "Rb", "Rb"], "frac_coords": [[0.5430, 0.2500, 0.8486], [0.2073, 0.7500, 0.5419], [0.4570, 0.7500, 0.1514], [0.7927, 0.2500, 0.4581], [0.8968, 0.7500, 0.1663], [0.1032, 0.2500, 0.8337], [0.9268, 0.7500, 0.4119], [0.0732, 0.2500, 0.5881], [0.6699, 0.2500, 0.1462], [0.3301, 0.7500, 0.8538], [0.7798, 0.7500, 0.7483], [0.2202, 0.2500, 0.2517]]}

{"formula": "Gd4Co3B6", "functional": "PBE", "state": "optimized geometry", "space_group": "R-3m, No. 166", "cell": [[-2.6574, 4.6028, 0.0000], [5.3149, 0.0000, 0.0000], [2.6574, -1.5343, -7.3983]], "species": ["Gd", "Gd", "Gd", "Gd", "B", "B", "B", "B", "B", "B", "Co", "Co", "Co"], "frac_coords": [[0.4110, 0.5890, 0.2331], [0.7445, 0.2555, 0.2334], [0.2555, 0.7445, 0.7666], [0.5890, 0.4110, 0.7669], [0.8322, 0.8322, 0.5000], [0.1678, 0.5000, 0.5000], [0.5000, 0.8322, 0.5000], [0.1678, 0.1678, 0.5000], [0.8322, 0.5000, 0.5000], [0.5000, 0.1678, 0.5000], [0.0000, 0.0000, 0.0000], [0.1134, 0.8866, 0.3402], [0.8866, 0.1134, 0.6598]]}

Table of DFT total energy (eV per atom), in record order: -8.24; -4.30; -3.64; -3.73; -5.28; -6.49